## Tb6Pm3In2 (GGA-PBE)

Data for crystalline Tb6Pm3In2 at its relaxed geometry.

crystal system: tetragonal
formation enthalpy at 0 K: 0.112 eV/atom

a = 4.593 Å, b = 4.593 Å, c = 35.447 Å
α = 90.00°, β = 90.00°, γ = 90.00°
Space group I4/mmm (No. 139)
Unique sites:
Tb 0.000 0.000 0.227
Tb 0.000 0.500 0.080
Pm 0.000 0.000 0.333
Pm 0.000 0.000 0.500
In 0.000 0.000 0.141